Entry 1:
Compound: Tm2InRu
Source: the Alexandria database
Functional: PBE-GGA
Structure: optimized geometry

CIF file:
```
data_Tm2InRu
_cell_length_a 3.4142
_cell_length_b 3.4142
_cell_length_c 7.7039
_cell_angle_alpha 90.00
_cell_angle_beta 90.00
_cell_angle_gamma 90.00
_space_group_name_H-M_alt 'P 4/m m m'
_space_group_IT_number 123
_space_group_name_Hall '-P 4 2'
loop_
_atom_site_label
_atom_site_type_symbol
_atom_site_fract_x
_atom_site_fract_y
_atom_site_fract_z
Tm1 Tm 0.0000 0.0000 0.2110
In1 In 0.5000 0.5000 0.5000
Ru1 Ru 0.5000 0.5000 0.0000
```

Output
Offset from the most stable computed form ... 0 meV per atom
E_form ... -520 meV/atom
Total DFT energy (no corrections) ... -23.0 eV per cell
Density ... 10.2 g cm⁻³
Calculated volume ... 22.45 Å³/atom



Entry 2:
Compound: Tm2V2InRu5
Source: the Alexandria database
Functional: PBE-GGA
Structure: optimized geometry

CIF file:
```
data_Tm2V2InRu5
_cell_length_a 10.2087
_cell_length_b 10.2087
_cell_length_c 3.3157
_cell_angle_alpha 90.00
_cell_angle_beta 90.00
_cell_angle_gamma 90.00
_space_group_name_H-M_alt 'P 4/m b m'
_space_group_IT_number 127
_space_group_name_Hall '-P 4 2ab'
loop_
_atom_site_label
_atom_site_type_symbol
_atom_site_fract_x
_atom_site_fract_y
_atom_site_fract_z
Tm1 Tm 0.1766 0.3234 0.0000
V1 V 0.1217 0.6217 0.0000
In1 In 0.0000 0.0000 0.0000
Ru1 Ru 0.0000 0.5000 0.5000
Ru2 Ru 0.0682 0.7871 0.5000
```

Output
E_form ... -228 meV/atom
Total DFT energy (no corrections) ... -157.2 eV per cell
Density ... 10.2 g cm⁻³
Calculated volume ... 17.28 Å³/atom